VASP calculation (PBE+U) on a relaxed structure of Li4Mn2Fe3Co3O16.

Geometry as POSCAR:
```
Li4Mn2Fe3Co3O16
1.0
5.723 0.000 0.000
2.841 5.000 0.000
0.152 -0.035 9.322
Li Mn Fe Co O
4 2 3 3 16
Cartesian
0.000 0.000 0.000
0.140 0.048 4.675
2.821 1.694 0.890
5.765 3.388 5.568
2.930 1.777 4.775
5.680 3.382 0.085
4.375 0.868 7.310
7.139 4.241 2.653
5.761 1.759 2.633
2.938 3.309 7.293
1.561 0.856 7.284
4.331 4.201 2.617
0.129 0.006 6.447
1.650 2.428 6.145
1.479 0.909 3.645
2.908 3.400 3.735
2.912 1.685 8.239
4.380 4.173 8.329
4.162 2.501 6.058
2.885 0.246 6.098
5.646 4.843 1.366
4.432 2.645 1.470
5.728 3.399 3.596
4.392 0.943 3.742
7.266 4.125 8.417
5.857 1.632 8.356
6.930 2.603 1.406
5.756 0.062 1.767
```

VASP energy = -170.7 eV for the cell shown
Symmetry = P1